VASP calculation (PBE-GGA) on NdDyBrN after structural relaxation.

Uncorrected energy, eV/atom: -6.263
Total magnetic moment, μB per formula unit: 0.0

a b c (Å): 7.583 7.583 7.583
angles (deg): 27.86 27.86 27.86
Element x y z (fractional)
1 Nd 0.000 0.000 0.000
2 Dy 0.787 0.787 0.787
3 Br 0.223 0.223 0.223
4 N 0.407 0.407 0.407